{
  "formula": "YSnTe",
  "functional": "PBE-GGA",
  "state": "relaxed",
  "e_form_raw_mev_per_atom": -960,
  "spacegroup": "No. 139",
  "total_energy_ev_per_atom": -5.496,
  "cell": [[-2.112, 2.112, 9.580], [2.112, -2.112, 9.580], [2.112, 2.112, -9.580]],
  "species": ["Y", "Y", "Sn", "Sn", "Te", "Te"],
  "fractional_positions": [[0.141, 0.141, 0.000], [0.859, 0.859, 0.000], [0.000, 0.500, 0.500], [0.500, 0.000, 0.500], [0.311, 0.311, 0.000], [0.689, 0.689, 0.000]]
}